Record 1
Below is a relaxed ZnTcGe4 crystal, with properties calculated at the PBE level.

As for the total energy: -30.49 eV/f.u. The calculation puts the formation energy from the elements at -0.063 eV per atom.

It has space group I4/mcm (No. 140), with a = 6.360 Å, b = 6.360 Å, c = 10.166 Å, α = 90.00°, β = 90.00° and γ = 90.00°. Symmetry generates all atoms from Zn at (0.000, 0.000, 0.000), Tc at (0.000, 0.000, 0.250) and Ge at (0.148, 0.352, 0.143).

***

Record 2
Below is a relaxed NbHg3Br crystal, with properties calculated at the PBE level.

Its polymorph energy (0 for the lowest one) is 0 meV/atom. The uncorrected formation energy is 572 meV/atom. As for the total energy: -9.79 eV/f.u.

It has space group Pm-3m (No. 221), with a = 5.634 Å, b = 5.634 Å, c = 5.634 Å, α = 90.00°, β = 90.00° and γ = 90.00°. Symmetry generates all atoms from Nb at (0.000, 0.000, 0.000), Hg at (0.000, 0.000, 0.500) and Br at (0.500, 0.500, 0.500).

***

Record 3
Below is a relaxed YNiTe2I crystal, with properties calculated at the PBE level.

Its polymorph energy (0 for the lowest one) is 533 meV/atom. The uncorrected formation energy is 259 meV/atom. As for the total energy: -18.78 eV/f.u.

It has space group P4/mmm (No. 123), with a = 5.899 Å, b = 5.899 Å, c = 5.875 Å, α = 90.00°, β = 90.00° and γ = 90.00°. Symmetry generates all atoms from Y at (0.000, 0.000, 0.000), Ni at (0.500, 0.500, 0.500), Te at (0.000, 0.500, 0.000) and I at (0.000, 0.000, 0.500).

***

Record 4
Below is a relaxed Cs2ReSi crystal, with properties calculated at the PBE level.

Its polymorph energy (0 for the lowest one) is 0 meV/atom. The uncorrected formation energy is 964 meV/atom. As for the total energy: -15.72 eV/f.u.

It has space group I4_1/amd (No. 141, origin choice 2), with a = 13.947 Å, b = 13.947 Å, c = 4.682 Å, α = 90.00°, β = 90.00° and γ = 90.00°. Symmetry generates all atoms from Cs at (0.000, 0.000, 0.000), Re at (0.000, 0.250, 0.875) and Si at (0.000, 0.250, 0.375).

***

Q: Among the records above, which one has the lowest total energy?
A: ZnTcGe4